Compound: HgPbN2O
Source: Alexandria
Functional: PBE-GGA
Structure: relaxed

Structure (CIF):
```
data_HgPbN2O
_chemical_formula_sum 'Hg1 Pb1 N2 O1'
_space_group_name_H-M_alt 'P 1'
_space_group_IT_number 1
_space_group_name_Hall 'P 1'
_cell_length_a 4.4127
_cell_length_b 4.4127
_cell_length_c 4.5000
_cell_angle_alpha 90.00
_cell_angle_beta 90.00
_cell_angle_gamma 90.00
loop_
_atom_site_label
_atom_site_fract_x
_atom_site_fract_y
_atom_site_fract_z
Pb1 0.5000 0.5000 0.5000
Hg1 0.0000 0.0000 0.0000
O1 0.0000 0.0000 0.5000
N1 0.0000 0.5000 0.0000
N2 0.5000 0.0000 0.0000
```

Summary:
- Uncorrected formation energy: 1.446 eV per atom
- N(E_F): 0.593 states/eV/atom